Below is crystalline SiRhSeN2 at its relaxed geometry, with properties calculated at the PBE-GGA level.

Output
- DFT total energy: -5.43 eV per atom
- Formation energy from raw total energies: 1.154 eV per atom

```
SiRhSeN2
1.0
-3.174 -1.015 1.883
-1.560 -1.207 -3.281
2.043 -4.867 0.820
N Si Se Rh
2 1 1 1
Cartesian
-0.780 -0.604 -1.640 N
-1.587 -0.508 0.942 N
-1.346 -3.545 -0.289 Si
1.022 -2.434 0.410 Se
0.000 0.000 0.000 Rh
```